1) NaRuSe2N: optimized geometry, PBE.

Geometry as CIF:
```
data_NaRuSe2N
_chemical_formula_sum 'Na1 Ru1 Se2 N1'
_cell_length_a 5.1081
_cell_length_b 5.1081
_cell_length_c 4.0522
_cell_angle_alpha 90.00
_cell_angle_beta 90.00
_cell_angle_gamma 90.00
_space_group_name_H-M_alt 'P 4/m m m'
_space_group_IT_number 123
_space_group_name_Hall '-P 4 2'
loop_
_atom_site_label
_atom_site_type_symbol
_atom_site_fract_x
_atom_site_fract_y
_atom_site_fract_z
Na1 Na 0.0000 0.0000 0.0000
Ru1 Ru 0.5000 0.5000 0.5000
Se1 Se 0.0000 0.5000 0.0000
N1 N 0.0000 0.0000 0.5000
```

2) NaRuSe2N: optimized geometry, PBE.

Geometry as CIF:
```
data_NaRuSe2N
_chemical_formula_sum 'Na1 Ru1 Se2 N1'
_cell_length_a 5.2195
_cell_length_b 5.2195
_cell_length_c 3.6633
_cell_angle_alpha 90.00
_cell_angle_beta 90.00
_cell_angle_gamma 90.00
_space_group_name_H-M_alt 'P 4/m m m'
_space_group_IT_number 123
_space_group_name_Hall '-P 4 2'
loop_
_atom_site_label
_atom_site_type_symbol
_atom_site_fract_x
_atom_site_fract_y
_atom_site_fract_z
Na1 Na 0.0000 0.0000 0.0000
Ru1 Ru 0.5000 0.5000 0.5000
Se1 Se 0.0000 0.5000 0.5000
N1 N 0.5000 0.5000 0.0000
```

Winner for stability: 2)

1) NaRuSeN2: optimized geometry, PBE.

Geometry as CIF:
```
data_NaRuSeN2
_chemical_formula_sum 'Na1 Ru1 Se1 N2'
_cell_length_a 3.8366
_cell_length_b 3.8366
_cell_length_c 5.4424
_cell_angle_alpha 90.00
_cell_angle_beta 90.00
_cell_angle_gamma 90.00
_space_group_name_H-M_alt 'P 4/m m m'
_space_group_IT_number 123
_space_group_name_Hall '-P 4 2'
loop_
_atom_site_label
_atom_site_type_symbol
_atom_site_fract_x
_atom_site_fract_y
_atom_site_fract_z
Na1 Na 0.0000 0.0000 0.0000
Ru1 Ru 0.5000 0.5000 0.5000
Se1 Se 0.5000 0.5000 0.0000
N1 N 0.0000 0.5000 0.5000
```

2) NaRuSeN2: optimized geometry, PBE.

Geometry as CIF:
```
data_NaRuSeN2
_chemical_formula_sum 'Na1 Ru1 Se1 N2'
_cell_length_a 3.9755
_cell_length_b 3.9755
_cell_length_c 4.9256
_cell_angle_alpha 90.00
_cell_angle_beta 90.00
_cell_angle_gamma 90.00
_space_group_name_H-M_alt 'P 4/m m m'
_space_group_IT_number 123
_space_group_name_Hall '-P 4 2'
loop_
_atom_site_label
_atom_site_type_symbol
_atom_site_fract_x
_atom_site_fract_y
_atom_site_fract_z
Na1 Na 0.0000 0.0000 0.0000
Ru1 Ru 0.5000 0.5000 0.5000
Se1 Se 0.0000 0.0000 0.5000
N1 N 0.0000 0.5000 0.0000
```

Winner for stability: 1)

1) NaS3N: optimized geometry, PBE.

Geometry as CIF:
```
data_NaS3N
_chemical_formula_sum 'Na1 S3 N1'
_cell_length_a 5.4017
_cell_length_b 5.4017
_cell_length_c 5.4017
_cell_angle_alpha 90.00
_cell_angle_beta 90.00
_cell_angle_gamma 90.00
_space_group_name_H-M_alt 'P m -3 m'
_space_group_IT_number 221
_space_group_name_Hall '-P 4 2 3'
loop_
_atom_site_label
_atom_site_type_symbol
_atom_site_fract_x
_atom_site_fract_y
_atom_site_fract_z
Na1 Na 0.0000 0.0000 0.0000
S1 S 0.0000 0.0000 0.5000
N1 N 0.5000 0.5000 0.5000
```

2) NaS3N: optimized geometry, PBE.

Geometry as CIF:
```
data_NaS3N
_chemical_formula_sum 'Na4 S12 N4'
_cell_length_a 17.8636
_cell_length_b 2.8461
_cell_length_c 10.3439
_cell_angle_alpha 90.00
_cell_angle_beta 124.16
_cell_angle_gamma 90.00
_space_group_name_H-M_alt 'C 1 2/m 1'
_space_group_IT_number 12
loop_
_space_group_symop_operation_xyz
'x,y,z'
'-x,-y,-z'
'-x,y,-z'
'x,-y,z'
'x+1/2,y+1/2,z'
'-x+1/2,-y+1/2,-z'
'-x+1/2,y+1/2,-z'
'x+1/2,-y+1/2,z'
loop_
_atom_site_label
_atom_site_type_symbol
_atom_site_fract_x
_atom_site_fract_y
_atom_site_fract_z
Na1 Na 0.1178 0.0000 0.3528
S1 S 0.0881 0.0000 0.8179
S2 S 0.1933 0.5000 0.6477
S3 S 0.1950 0.5000 0.2131
N1 N 0.0251 0.5000 0.7671
```

3) NaS3N: optimized geometry, PBE.

Geometry as CIF:
```
data_NaS3N
_chemical_formula_sum 'Na1 S3 N1'
_cell_length_a 4.2246
_cell_length_b 4.2246
_cell_length_c 4.2246
_cell_angle_alpha 90.00
_cell_angle_beta 90.00
_cell_angle_gamma 90.00
_space_group_name_H-M_alt 'P m -3 m'
_space_group_IT_number 221
_space_group_name_Hall '-P 4 2 3'
loop_
_atom_site_label
_atom_site_type_symbol
_atom_site_fract_x
_atom_site_fract_y
_atom_site_fract_z
Na1 Na 0.0000 0.0000 0.0000
S1 S 0.0000 0.5000 0.5000
N1 N 0.5000 0.5000 0.5000
```

Winner for stability: 2)

1) NaSeS2N: optimized geometry, PBE.

Geometry as CIF:
```
data_NaSeS2N
_chemical_formula_sum 'Na1 Se1 S2 N1'
_cell_length_a 4.9201
_cell_length_b 4.9201
_cell_length_c 4.0020
_cell_angle_alpha 90.00
_cell_angle_beta 90.00
_cell_angle_gamma 90.00
_space_group_name_H-M_alt 'P 4/m m m'
_space_group_IT_number 123
_space_group_name_Hall '-P 4 2'
loop_
_atom_site_label
_atom_site_type_symbol
_atom_site_fract_x
_atom_site_fract_y
_atom_site_fract_z
Na1 Na 0.0000 0.0000 0.0000
Se1 Se 0.5000 0.5000 0.5000
S1 S 0.0000 0.5000 0.5000
N1 N 0.5000 0.5000 0.0000
```

2) NaSeS2N: optimized geometry, PBE.

Geometry as CIF:
```
data_NaSeS2N
_chemical_formula_sum 'Na1 Se1 S2 N1'
_cell_length_a 5.0412
_cell_length_b 5.0412
_cell_length_c 4.2130
_cell_angle_alpha 90.00
_cell_angle_beta 90.00
_cell_angle_gamma 90.00
_space_group_name_H-M_alt 'P 4/m m m'
_space_group_IT_number 123
_space_group_name_Hall '-P 4 2'
loop_
_atom_site_label
_atom_site_type_symbol
_atom_site_fract_x
_atom_site_fract_y
_atom_site_fract_z
Na1 Na 0.0000 0.0000 0.0000
Se1 Se 0.5000 0.5000 0.5000
S1 S 0.0000 0.5000 0.0000
N1 N 0.0000 0.0000 0.5000
```

Winner for stability: 1)

1) NaSe2SN: optimized geometry, PBE.

Geometry as CIF:
```
data_NaSe2SN
_chemical_formula_sum 'Na1 Se2 S1 N1'
_cell_length_a 5.5911
_cell_length_b 5.5911
_cell_length_c 3.2285
_cell_angle_alpha 90.00
_cell_angle_beta 90.00
_cell_angle_gamma 90.00
_space_group_name_H-M_alt 'P 4/m m m'
_space_group_IT_number 123
_space_group_name_Hall '-P 4 2'
loop_
_atom_site_label
_atom_site_type_symbol
_atom_site_fract_x
_atom_site_fract_y
_atom_site_fract_z
Na1 Na 0.0000 0.0000 0.0000
Se1 Se 0.0000 0.5000 0.5000
S1 S 0.5000 0.5000 0.5000
N1 N 0.5000 0.5000 0.0000
```

2) NaSe2SN: optimized geometry, PBE.

Geometry as CIF:
```
data_NaSe2SN
_chemical_formula_sum 'Na1 Se2 S1 N1'
_cell_length_a 5.2075
_cell_length_b 5.2075
_cell_length_c 4.2504
_cell_angle_alpha 90.00
_cell_angle_beta 90.00
_cell_angle_gamma 90.00
_space_group_name_H-M_alt 'P 4/m m m'
_space_group_IT_number 123
_space_group_name_Hall '-P 4 2'
loop_
_atom_site_label
_atom_site_type_symbol
_atom_site_fract_x
_atom_site_fract_y
_atom_site_fract_z
Na1 Na 0.0000 0.0000 0.0000
Se1 Se 0.0000 0.5000 0.0000
S1 S 0.5000 0.5000 0.5000
N1 N 0.0000 0.0000 0.5000
```

Winner for stability: 1)

1) NaSiSN2: optimized geometry, PBE.

Geometry as CIF:
```
data_NaSiSN2
_chemical_formula_sum 'Na1 Si1 S1 N2'
_cell_length_a 4.2648
_cell_length_b 4.2648
_cell_length_c 5.2276
_cell_angle_alpha 90.00
_cell_angle_beta 90.00
_cell_angle_gamma 90.00
_space_group_name_H-M_alt 'P 4/m m m'
_space_group_IT_number 123
_space_group_name_Hall '-P 4 2'
loop_
_atom_site_label
_atom_site_type_symbol
_atom_site_fract_x
_atom_site_fract_y
_atom_site_fract_z
Na1 Na 0.0000 0.0000 0.0000
Si1 Si 0.5000 0.5000 0.5000
S1 S 0.0000 0.0000 0.5000
N1 N 0.0000 0.5000 0.0000
```

2) NaSiSN2: optimized geometry, PBE.

Geometry as CIF:
```
data_NaSiSN2
_chemical_formula_sum 'Na1 Si1 S1 N2'
_cell_length_a 3.6175
_cell_length_b 3.6175
_cell_length_c 4.9592
_cell_angle_alpha 90.00
_cell_angle_beta 90.00
_cell_angle_gamma 90.00
_space_group_name_H-M_alt 'P 4/m m m'
_space_group_IT_number 123
_space_group_name_Hall '-P 4 2'
loop_
_atom_site_label
_atom_site_type_symbol
_atom_site_fract_x
_atom_site_fract_y
_atom_site_fract_z
Na1 Na 0.0000 0.0000 0.0000
Si1 Si 0.5000 0.5000 0.5000
S1 S 0.5000 0.5000 0.0000
N1 N 0.0000 0.5000 0.5000
```

Winner for stability: 2)

1) NaSnSN2: optimized geometry, PBE.

Geometry as CIF:
```
data_NaSnSN2
_chemical_formula_sum 'Na1 Sn1 S1 N2'
_cell_length_a 4.2523
_cell_length_b 4.2523
_cell_length_c 5.2059
_cell_angle_alpha 90.00
_cell_angle_beta 90.00
_cell_angle_gamma 90.00
_space_group_name_H-M_alt 'P 4/m m m'
_space_group_IT_number 123
_space_group_name_Hall '-P 4 2'
loop_
_atom_site_label
_atom_site_type_symbol
_atom_site_fract_x
_atom_site_fract_y
_atom_site_fract_z
Na1 Na 0.0000 0.0000 0.0000
Sn1 Sn 0.5000 0.5000 0.5000
S1 S 0.5000 0.5000 0.0000
N1 N 0.0000 0.5000 0.5000
```

2) NaSnSN2: optimized geometry, PBE.

Geometry as CIF:
```
data_NaSnSN2
_chemical_formula_sum 'Na1 Sn1 S1 N2'
_cell_length_a 4.4016
_cell_length_b 4.4016
_cell_length_c 5.1994
_cell_angle_alpha 90.00
_cell_angle_beta 90.00
_cell_angle_gamma 90.00
_space_group_name_H-M_alt 'P 4/m m m'
_space_group_IT_number 123
_space_group_name_Hall '-P 4 2'
loop_
_atom_site_label
_atom_site_type_symbol
_atom_site_fract_x
_atom_site_fract_y
_atom_site_fract_z
Na1 Na 0.0000 0.0000 0.0000
Sn1 Sn 0.5000 0.5000 0.5000
S1 S 0.0000 0.0000 0.5000
N1 N 0.0000 0.5000 0.0000
```

Winner for stability: 1)